Entry 1:
# TbSm6DySc2 (PBE, relaxed)
data_TbSm6DySc2
_space_group_name_H-M_alt 'P 1'
_space_group_IT_number 1
_cell_length_a 9.488
_cell_length_b 8.729
_cell_length_c 8.729
_cell_angle_alpha 117.49
_cell_angle_beta 94.03
_cell_angle_gamma 94.03
loop_
_space_group_symop_operation_xyz
'x,y,z'
loop_
_atom_site_label
_atom_site_type_symbol
_atom_site_fract_x
_atom_site_fract_y
_atom_site_fract_z
Sc1 Sc 0.549 0.198 0.298
Dy1 Dy 0.250 0.408 0.592
Sm1 Sm 0.818 0.441 0.987
Sm2 Sm 0.447 0.239 0.889
Dy2 Dy 0.750 0.592 0.408
Tb1 Tb 0.250 0.971 0.029
Sm3 Sm 0.382 0.507 0.299
Sm4 Sm 0.053 0.111 0.761
Sc2 Sc 0.049 0.298 0.198
Sc3 Sc 0.951 0.702 0.802
Sm5 Sm 0.182 0.559 0.013
Sm6 Sm 0.947 0.889 0.239
Tb2 Tb 0.750 0.029 0.971
Sm7 Sm 0.118 0.701 0.493
Sm8 Sm 0.682 0.013 0.559
Sm9 Sm 0.882 0.299 0.507
Sm10 Sm 0.318 0.987 0.441
Sm11 Sm 0.618 0.493 0.701
Sm12 Sm 0.553 0.761 0.111
Sc4 Sc 0.451 0.802 0.702
# Energy relative to the elements (meV per atom): 126
# ρ (g/cm3): 6.9

***

Entry 2:
# Nd5Tm4Sc3 (PBE, relaxed)
data_Nd5Tm4Sc3
_space_group_name_H-M_alt 'P 1'
_space_group_IT_number 1
_cell_length_a 5.601
_cell_length_b 9.632
_cell_length_c 9.490
_cell_angle_alpha 51.02
_cell_angle_beta 72.84
_cell_angle_gamma 73.10
loop_
_space_group_symop_operation_xyz
'x,y,z'
loop_
_atom_site_label
_atom_site_type_symbol
_atom_site_fract_x
_atom_site_fract_y
_atom_site_fract_z
Tm1 Tm 0.686 0.317 0.311
Nd1 Nd 0.121 0.081 0.677
Nd2 Nd 0.301 0.203 0.194
Tm2 Tm 0.314 0.683 0.689
Sc1 Sc 0.507 0.831 0.155
Tm3 Tm 0.869 0.353 0.910
Sc2 Sc 0.493 0.169 0.845
Tm4 Tm 0.131 0.647 0.090
Nd3 Nd 0.500 0.500 0.500
Sc3 Sc 0.000 0.500 0.500
Nd4 Nd 0.879 0.919 0.323
Nd5 Nd 0.699 0.797 0.806
# Energy relative to the elements (meV per atom): 239
# ρ (g/cm3): 6.8

***

Entry 3:
# ZrRu2W (PBE, relaxed)
data_ZrRu2W
_space_group_name_H-M_alt 'P 1'
_space_group_IT_number 1
_cell_length_a 3.027
_cell_length_b 3.459
_cell_length_c 6.251
_cell_angle_alpha 90.00
_cell_angle_beta 90.00
_cell_angle_gamma 90.00
loop_
_space_group_symop_operation_xyz
'x,y,z'
loop_
_atom_site_label
_atom_site_type_symbol
_atom_site_fract_x
_atom_site_fract_y
_atom_site_fract_z
W1 W 0.500 0.500 0.250
Ru1 Ru 0.000 0.000 0.015
Ru2 Ru 0.000 0.000 0.485
Zr1 Zr 0.500 0.500 0.750
# Energy relative to the elements (meV per atom): -111
# ρ (g/cm3): 12.1

***

Entry 4:
# Na2Ti2AlS6 (PBE, relaxed)
data_Na2Ti2AlS6
_space_group_name_H-M_alt 'P 1'
_space_group_IT_number 1
_cell_length_a 6.120
_cell_length_b 6.120
_cell_length_c 7.102
_cell_angle_alpha 98.44
_cell_angle_beta 98.44
_cell_angle_gamma 120.27
loop_
_space_group_symop_operation_xyz
'x,y,z'
loop_
_atom_site_label
_atom_site_type_symbol
_atom_site_fract_x
_atom_site_fract_y
_atom_site_fract_z
Na1 Na 0.833 0.167 0.000
Ti1 Ti 0.669 0.331 0.500
Al1 Al 0.000 0.000 0.500
S1 S 0.258 0.258 0.301
Na2 Na 0.167 0.833 0.000
S2 S 0.930 0.602 0.296
S3 S 0.742 0.742 0.699
S4 S 0.070 0.398 0.704
S5 S 0.398 0.070 0.704
S6 S 0.602 0.930 0.296
Ti2 Ti 0.331 0.669 0.500
# Raw formation energy (eV per formula unit): -13.960
# ρ (g/cm3): 2.7

***

Entry 5:
# SrCd2Se2 (PBE, relaxed)
data_SrCd2Se2
_space_group_name_H-M_alt 'P 1'
_space_group_IT_number 1
_cell_length_a 8.440
_cell_length_b 8.440
_cell_length_c 3.963
_cell_angle_alpha 90.00
_cell_angle_beta 90.00
_cell_angle_gamma 90.00
loop_
_space_group_symop_operation_xyz
'x,y,z'
loop_
_atom_site_label
_atom_site_type_symbol
_atom_site_fract_x
_atom_site_fract_y
_atom_site_fract_z
Sr1 Sr 0.500 0.500 0.000
Se1 Se 0.267 0.233 0.500
Cd1 Cd 0.391 0.891 0.000
Sr2 Sr 0.000 0.000 0.000
Cd2 Cd 0.891 0.609 0.000
Cd3 Cd 0.109 0.391 0.000
Se2 Se 0.767 0.267 0.500
Se3 Se 0.733 0.767 0.500
Cd4 Cd 0.609 0.109 0.000
Se4 Se 0.233 0.733 0.500
# Raw formation energy (eV per formula unit): -3.283
# ρ (g/cm3): 5.5
# Energy relative to the lowest polymorph listed for this composition (eV/atom): 0.128

***

Entry 6:
# TlFeCu2 (PBE, relaxed)
data_TlFeCu2
_space_group_name_H-M_alt 'P 1'
_space_group_IT_number 1
_cell_length_a 3.027
_cell_length_b 2.986
_cell_length_c 7.400
_cell_angle_alpha 66.26
_cell_angle_beta 90.00
_cell_angle_gamma 90.00
loop_
_space_group_symop_operation_xyz
'x,y,z'
loop_
_atom_site_label
_atom_site_type_symbol
_atom_site_fract_x
_atom_site_fract_y
_atom_site_fract_z
Cu1 Cu 0.000 0.950 0.050
Cu2 Cu 0.500 0.254 0.246
Tl1 Tl 0.500 0.747 0.752
Fe1 Fe 0.000 0.549 0.452
# Energy relative to the elements (meV per atom): 375
# ρ (g/cm3): 10.5
# Energy relative to the lowest polymorph listed for this composition (eV/atom): 0.005

***

Q: Which of these has the lowest ρ?
A: Na2Ti2AlS6